[1]
## LiZnW3 (GGA-PBE)

Data for a relaxed LiZnW3 crystal.

Properties
**ΔH_f (0 K)**: 1.488 eV/atom
**Energy above the lowest structure with this stoichiometry**: 0.00 kcal/mol of atoms
**D(E_F)**: 1.028 states/eV/atom

Cell lengths 4.2350, 4.2350, 4.2350 Å; angles 90.00, 90.00, 90.00 degrees
With the nearest neighbours (Å) after each atom.
Fractional positions:
Li 0.0000 0.0000 0.0000  6 W 2.12
Zn 0.5000 0.5000 0.5000  12 W 2.99
W 0.0000 0.0000 0.5000  2 Li 2.12
W 0.0000 0.5000 0.0000  2 Li 2.12
W 0.5000 0.0000 0.0000  2 Li 2.12


[2]
## HgGePt4 (GGA-PBE)

Data for a relaxed HgGePt4 crystal.

Properties
**ΔH_f (0 K)**: -0.160 eV/atom
**D(E_F)**: 0.511 states/eV/atom

Cell lengths 3.9548, 7.2520, 8.1570 Å; angles 67.59, 76.00, 89.85 degrees
With the nearest neighbours (Å) after each atom.
Fractional positions:
Hg 0.1948 0.2947 0.1119  9 Pt 2.85-3.18
Hg 0.8052 0.7053 0.8881  9 Pt 2.85-3.18
Ge 0.0000 0.5000 0.5000  8 Pt 2.48-2.61
Ge 0.5000 0.0000 0.5000  6 Pt 2.46-2.55
Pt 0.0522 0.8705 0.3963  3 Ge 2.46-2.48, 1 Pt 2.76
Pt 0.1678 0.6708 0.1589  1 Ge 2.49, 2 Pt 2.75-2.79
Pt 0.3171 0.0365 0.8673  7 Pt 2.75-2.86, 1 Ge 3.02, 2 Hg 3.06-3.07
Pt 0.4273 0.6172 0.6480  3 Ge 2.55-2.61, 2 Pt 2.85
Pt 0.5727 0.3828 0.3520  3 Ge 2.55-2.61, 2 Pt 2.85
Pt 0.6829 0.9635 0.1327  7 Pt 2.75-2.86, 1 Ge 3.02, 2 Hg 3.06-3.07
Pt 0.8322 0.3292 0.8411  1 Ge 2.49, 2 Pt 2.75-2.79
Pt 0.9478 0.1295 0.6037  3 Ge 2.46-2.48, 1 Pt 2.76


[3]
## LiGe4 (GGA-PBE)

Data for a relaxed LiGe4 crystal.

Properties
**ΔH_f (0 K)**: 0.516 eV/atom
**D(E_F)**: 0.671 states/eV/atom

Cell lengths 4.6225, 4.6225, 4.6225 Å; angles 90.00, 90.00, 90.00 degrees
With the nearest neighbours (Å) after each atom.
Fractional positions:
Li 0.0000 0.0000 0.0000  6 Ge 2.31
Ge 0.0000 0.0000 0.5000  2 Li 2.31
Ge 0.0000 0.5000 0.0000  2 Li 2.31
Ge 0.5000 0.0000 0.0000  2 Li 2.31
Ge 0.5000 0.5000 0.5000  12 Ge 3.27


[4]
## Nd3Dy5Tm2 (GGA-PBE)

Data for a relaxed Nd3Dy5Tm2 crystal.

Properties
**ΔH_f (0 K)**: 0.193 eV/atom
**D(E_F)**: 1.713 states/eV/atom

Cell lengths 9.6120, 9.6120, 9.4051 Å; angles 108.40, 108.40, 112.22 degrees
With the nearest neighbours (Å) after each atom.
Fractional positions:
Nd 0.0186 0.2668 0.0441  1 Tm 3.17, 5 Dy 3.28-3.50, 1 Nd 3.54
Nd 0.2344 0.7656 0.7500  3 Dy 3.30-3.63, 4 Tm 3.32-3.61, 2 Nd 3.54
Nd 0.2668 0.0186 0.5441  1 Tm 3.17, 5 Dy 3.28-3.50, 1 Nd 3.54
Nd 0.7332 0.9814 0.4559  1 Tm 3.17, 5 Dy 3.28-3.50, 1 Nd 3.54
Nd 0.7656 0.2344 0.2500  3 Dy 3.30-3.63, 4 Tm 3.32-3.61, 2 Nd 3.54
Nd 0.9814 0.7332 0.9559  1 Tm 3.17, 5 Dy 3.28-3.50, 1 Nd 3.54
Dy 0.0276 0.9724 0.7500  5 Nd 3.30-3.44, 2 Tm 3.38, 2 Dy 3.50
Dy 0.1525 0.3742 0.7726  2 Tm 3.45-3.59, 3 Nd 3.46-3.63, 3 Dy 3.50-3.74
Dy 0.2722 0.7278 0.2500  1 Dy 3.14, 2 Nd 3.28
Dy 0.3742 0.1525 0.2726  2 Tm 3.45-3.59, 3 Nd 3.46-3.63, 3 Dy 3.50-3.74
Dy 0.4689 0.5311 0.2500  3 Dy 3.14-3.50, 4 Tm 3.29-3.42, 2 Nd 3.50
Dy 0.5311 0.4689 0.7500  3 Dy 3.14-3.50, 4 Tm 3.29-3.42, 2 Nd 3.50
Dy 0.6258 0.8475 0.7274  2 Tm 3.45-3.59, 3 Nd 3.46-3.63, 3 Dy 3.50-3.74
Dy 0.7278 0.2722 0.7500  1 Dy 3.14, 2 Nd 3.28
Dy 0.8475 0.6258 0.2274  2 Tm 3.45-3.59, 3 Nd 3.46-3.63, 3 Dy 3.50-3.74
Dy 0.9724 0.0276 0.2500  5 Nd 3.30-3.44, 2 Tm 3.38, 2 Dy 3.50
Tm 0.2313 0.4633 0.4531  2 Nd 3.17-3.32, 4 Dy 3.29-3.45
Tm 0.4633 0.2313 0.9531  2 Nd 3.17-3.32, 4 Dy 3.29-3.45
Tm 0.5367 0.7687 0.0469  2 Nd 3.17-3.32, 4 Dy 3.29-3.45
Tm 0.7687 0.5367 0.5469  2 Nd 3.17-3.32, 4 Dy 3.29-3.45